[1]
A relaxed structure of Ce2ErThAs4, computed with PBE.

The density of states at the Fermi level comes out at 11.948 states/eV/cell. The calculation puts the energy at -54.03 eV/f.u. The magnetization is 1.5 Bohr magnetons per cell. The value obtained for the volume is 26.22 Å³ per atom. The calculated formation energy is -1.448 eV/atom.

The structure belongs to space group P2/m (No. 10); the cell edges are 7.2583, 4.2033 and 7.2911 Å and the angles 90.00°, 109.47° and 90.00°. The inequivalent atoms are Ce at (0.0000, 0.0000, 0.0000), Ce at (0.5000, 0.5000, 0.0000), Er at (0.0000, 0.5000, 0.5000), Th at (0.5000, 0.0000, 0.5000), As at (0.2437, 0.0000, 0.7452) and As at (0.2450, 0.5000, 0.2513).

---

[2]
A relaxed structure of Mn2AgSe, computed with PBE.

The density of states at the Fermi level comes out at 10.080 states/eV/cell. The calculation puts the energy at -23.91 eV/f.u. The magnetization is 16.9 Bohr magnetons per cell. The value obtained for the volume is 17.11 Å³ per atom. For the formation energy (no corrections), the calculation gives 191 meV per atom.

The structure belongs to space group R3m (No. 160, hexagonal axes); the cell edges are 3.0111, 3.0111 and 26.1425 Å and the angles 90.00°, 90.00° and 120.00°. The inequivalent atoms are Mn at (0.0000, 0.0000, 0.0000), Mn at (0.0000, 0.0000, 0.2570), Ag at (0.0000, 0.0000, 0.7518) and Se at (0.0000, 0.0000, 0.5294).

---

[3]
A relaxed structure of NaSn2Cl5, computed with PBE.

The density of states at the Fermi level comes out at 0.000 states/eV/cell. The calculation puts the energy at -28.22 eV/f.u. The magnetization is 0.0 Bohr magnetons per cell. The value obtained for the volume is 29.03 Å³ per atom. For the formation energy (no corrections), the calculation gives -1207 meV per atom.

The structure belongs to space group Pnnm (No. 58); the cell edges are 8.7121, 12.1353 and 8.7876 Å and the angles 90.00°, 90.00° and 90.00°. The inequivalent atoms are Na at (0.0000, 0.0000, 0.2466), Sn at (0.0570, 0.3329, 0.5000), Sn at (0.0604, 0.3272, 0.0000), Cl at (0.0000, 0.5000, 0.2957), Cl at (0.1610, 0.8963, 0.0000), Cl at (0.1670, 0.2049, 0.2210) and Cl at (0.1773, 0.9285, 0.5000).

---

[4]
A relaxed structure of BaIn4Ru, computed with PBE.

The density of states at the Fermi level comes out at 10.762 states/eV/cell. The calculation puts the energy at -20.41 eV/f.u. The magnetization is 7.1 Bohr magnetons per cell. The value obtained for the volume is 26.44 Å³ per atom. The calculated formation energy is 0.290 eV/atom.

The structure belongs to space group F-43m (No. 216); the cell edges are 8.5937, 8.5937 and 8.5937 Å and the angles 90.00°, 90.00° and 90.00°. The inequivalent atoms are Ba at (0.0000, 0.0000, 0.0000), In at (0.1242, 0.1242, 0.6242) and Ru at (0.2500, 0.2500, 0.2500).

---

[5]
A relaxed structure of CaAc4Tb, computed with PBE.

The density of states at the Fermi level comes out at 40.292 states/eV/cell. The calculation puts the energy at -21.28 eV/f.u. The magnetization is 0.0 Bohr magnetons per cell. The value obtained for the volume is 45.28 Å³ per atom. The calculated formation energy is 0.298 eV/atom.

The structure belongs to space group F-43m (No. 216); the cell edges are 10.2810, 10.2810 and 10.2810 Å and the angles 90.00°, 90.00° and 90.00°. The inequivalent atoms are Ca at (0.0000, 0.0000, 0.0000), Ac at (0.1240, 0.1240, 0.6240) and Tb at (0.2500, 0.2500, 0.2500).

---

[6]
A relaxed structure of Nd2Zn3Cu12Rh, computed with PBE.

The density of states at the Fermi level comes out at 21.951 states/eV/cell. The calculation puts the energy at -67.93 eV/f.u. The magnetization is 0.0 Bohr magnetons per cell. The value obtained for the volume is 16.55 Å³ per atom. The calculated formation energy is 0.107 eV/atom.

The structure belongs to space group R-3m (No. 166, hexagonal axes); the cell edges are 6.1011, 6.1011 and 27.7276 Å and the angles 90.00°, 90.00° and 120.00°. The inequivalent atoms are Nd at (0.0000, 0.0000, 0.1486), Zn at (0.0000, 0.5000, 0.0000), Cu at (0.0471, 0.5236, 0.0949), Cu at (0.0720, 0.5360, 0.6175) and Rh at (0.0000, 0.0000, 0.5000).

---

[7]
A relaxed structure of Mg4InAu3, computed with PBE.

The density of states at the Fermi level comes out at 7.099 states/eV/cell. The calculation puts the energy at -22.67 eV/f.u. The magnetization is 0.0 Bohr magnetons per cell. The value obtained for the volume is 19.07 Å³ per atom. The calculated formation energy is -0.466 eV/atom.

The structure belongs to space group R-3m (No. 166, hexagonal axes); the cell edges are 4.7647, 4.7647 and 23.2845 Å and the angles 90.00°, 90.00° and 120.00°. The inequivalent atoms are Mg at (0.0000, 0.0000, 0.1179), Mg at (0.0000, 0.0000, 0.3686), In at (0.0000, 0.0000, 0.5000), Au at (0.0000, 0.0000, 0.0000) and Au at (0.0000, 0.0000, 0.2447).

---

[8]
A relaxed structure of TlTc2O7, computed with PBE.

The density of states at the Fermi level comes out at 11.606 states/eV/cell. The calculation puts the energy at -69.90 eV/f.u. The magnetization is 2.2 Bohr magnetons per cell. The value obtained for the volume is 30.48 Å³ per atom. For the formation energy (no corrections), the calculation gives -1209 meV per atom.

The structure belongs to space group Cmm2 (No. 35); the cell edges are 8.7868, 11.5889 and 5.9858 Å and the angles 90.00°, 90.00° and 90.00°. The inequivalent atoms are Tl at (0.0000, 0.0000, 0.0000), Tc at (0.2110, 0.5000, 0.4236), O at (0.0000, 0.5000, 0.3824), O at (0.2070, 0.1186, 0.2933) and O at (0.2454, 0.0000, 0.7070).